This record from Alexandria describes a relaxed CrHPb3 crystal. The functional is PBE.

## Properties
SG ... No. 221
Energy relative to the lowest polymorph listed for this composition ... 0.0 kJ/mol of atoms

Cell lengths 4.8621, 4.8621, 4.8621 Å; angles 90.00, 90.00, 90.00 degrees
Element x y z (fractional)
Cr (0.0000, 0.0000, 0.0000)
H (0.5000, 0.5000, 0.5000)
Pb (0.0000, 0.5000, 0.5000)
Pb (0.5000, 0.0000, 0.5000)
Pb (0.5000, 0.5000, 0.0000)

---

This record from Alexandria describes a relaxed Bi2HRh crystal. The functional is PBE.

## Properties
SG ... No. 122
Energy relative to the lowest polymorph listed for this composition ... 36.8 kJ/mol of atoms

Cell lengths 5.9203, 5.9203, 5.9203 Å; angles 111.61, 111.61, 105.28 degrees
Element x y z (fractional)
Bi (0.0746, 0.1250, 0.4496)
Bi (0.3750, 0.9254, 0.0504)
Bi (0.6754, 0.6250, 0.5504)
Bi (0.8750, 0.3246, 0.9496)
H (0.0000, 0.0000, 0.0000)
H (0.7500, 0.2500, 0.5000)
Rh (0.2500, 0.7500, 0.5000)
Rh (0.5000, 0.5000, 0.0000)

---

This record from Alexandria describes a relaxed Pm5RhAu4 crystal. The functional is PBE.

## Properties
SG ... No. 123
Formation enthalpy at 0 K ... -764.8 meV per atom

Cell lengths 3.6444, 3.6444, 18.3974 Å; angles 90.00, 90.00, 90.00 degrees
Element x y z (fractional)
Pm (0.0000, 0.0000, 0.0000)
Pm (0.0000, 0.0000, 0.2042)
Pm (0.0000, 0.0000, 0.4080)
Pm (0.0000, 0.0000, 0.5920)
Pm (0.0000, 0.0000, 0.7958)
Rh (0.5000, 0.5000, 0.5000)
Au (0.5000, 0.5000, 0.1016)
Au (0.5000, 0.5000, 0.3056)
Au (0.5000, 0.5000, 0.6944)
Au (0.5000, 0.5000, 0.8984)

---

This record from Alexandria describes a relaxed ZrTaReOs crystal. The functional is PBE.

## Properties
SG ... No. 99
Formation enthalpy at 0 K ... -411.7 meV per atom
Energy relative to the lowest polymorph listed for this composition ... 0.0 kJ/mol of atoms

Cell lengths 3.2349, 3.2349, 6.5219 Å; angles 90.00, 90.00, 90.00 degrees
Element x y z (fractional)
Zr (0.0000, 0.0000, 0.0000)
Ta (0.0000, 0.0000, 0.4954)
Re (0.5000, 0.5000, 0.2610)
Os (0.5000, 0.5000, 0.7393)

---

This record from Alexandria describes a relaxed AcPrLuAg crystal. The functional is PBE.

## Properties
SG ... No. 216
Formation enthalpy at 0 K ... 189.8 meV per atom

Cell lengths 5.6107, 5.6107, 5.6107 Å; angles 60.00, 60.00, 60.00 degrees
Element x y z (fractional)
Ac (0.0000, 0.0000, 0.0000)
Pr (0.2500, 0.2500, 0.2500)
Lu (0.7500, 0.7500, 0.7500)
Ag (0.5000, 0.5000, 0.5000)

---

This record from Alexandria describes a relaxed Ce3Th3OsAu2 crystal. The functional is PBE.

## Properties
SG ... No. 189
Formation enthalpy at 0 K ... -372.2 meV per atom

Cell lengths 8.5505, 8.5505, 3.7979 Å; angles 90.00, 90.00, 120.00 degrees
Element x y z (fractional)
Ce (0.0000, 0.4051, 0.0000)
Ce (0.4051, 0.0000, 0.0000)
Ce (0.5949, 0.5949, 0.0000)
Th (0.0000, 0.7493, 0.5000)
Th (0.2507, 0.2507, 0.5000)
Th (0.7493, 0.0000, 0.5000)
Os (0.0000, 0.0000, 0.0000)
Au (0.3333, 0.6667, 0.5000)
Au (0.6667, 0.3333, 0.5000)

---

no.,electronic total energy (eV per atom)
1,-4.32
2,-4.32
3,-5.19
4,-11.43
5,-3.88
6,-6.80